Entry 1:
! HfTaTiVGa | Alexandria | GGA-PBE | optimized geometry; values from VASP
! Electronic total energy, eV per atom: -8.44
! Space group: No. 8
&SYSTEM
  ibrav = 0, nat = 10, ntyp = 5
/
ATOMIC_SPECIES
Ga 69.72 Ga.upf
Ta 180.95 Ta.upf
V 50.94 V.upf
Hf 178.49 Hf.upf
Ti 47.87 Ti.upf
ATOMIC_POSITIONS crystal
Ga 0.524 0.000 0.959
Ga 0.524 0.500 0.459
Ta 0.097 0.000 0.174
Ta 0.097 0.500 0.674
V 0.876 0.000 0.742
V 0.876 0.500 0.242
Hf 0.298 0.000 0.558
Hf 0.298 0.500 0.058
Ti 0.729 0.500 0.865
Ti 0.729 0.000 0.365
CELL_PARAMETERS angstrom
-5.487 0.529 4.118
-0.247 -3.447 0.114
9.817 -0.647 1.700

Entry 2:
! LiCu2O4 | Alexandria | GGA-PBE | optimized geometry; values from VASP
! Space group: No. 88
! Formation energy from raw total energies, eV per atom: -0.6910
&SYSTEM
  ibrav = 0, nat = 14, ntyp = 3
/
ATOMIC_SPECIES
O 16.00 O.upf
Li 6.94 Li.upf
Cu 63.55 Cu.upf
ATOMIC_POSITIONS crystal
O 0.403 0.085 0.707
O 0.847 0.665 0.793
O 0.915 0.696 0.293
O 0.872 0.153 0.207
O 0.946 0.128 0.793
O 0.335 0.054 0.207
O 0.378 0.597 0.293
O 0.304 0.622 0.707
Li 0.750 0.250 0.500
Li 0.500 0.500 0.000
Cu 0.125 0.875 0.750
Cu 0.625 0.875 0.750
Cu 0.125 0.875 0.250
Cu 0.125 0.375 0.250
CELL_PARAMETERS angstrom
-1.280 -2.919 -5.134
2.140 -5.126 2.381
-4.096 3.147 2.788

Entry 3:
! PmGaAgGe | Alexandria | GGA-PBE | optimized geometry; values from VASP
! Electronic total energy, eV per atom: -4.10
! Space group: No. 216
&SYSTEM
  ibrav = 0, nat = 4, ntyp = 4
/
ATOMIC_SPECIES
Pm 145.00 Pm.upf
Ag 107.87 Ag.upf
Ga 69.72 Ga.upf
Ge 72.64 Ge.upf
ATOMIC_POSITIONS crystal
Pm 0.000 0.000 0.000
Ag 0.500 0.500 0.500
Ga 0.750 0.750 0.750
Ge 0.250 0.250 0.250
CELL_PARAMETERS angstrom
4.923 0.000 0.000
2.461 4.263 0.000
2.461 1.421 4.019

Entry 4:
! CsDyIn2I6 | Alexandria | GGA-PBE | optimized geometry; values from VASP
! Space group: No. 1
! Formation energy from raw total energies, eV per atom: -1.0510
&SYSTEM
  ibrav = 0, nat = 10, ntyp = 4
/
ATOMIC_SPECIES
Dy 162.50 Dy.upf
I 126.90 I.upf
In 114.82 In.upf
Cs 132.91 Cs.upf
ATOMIC_POSITIONS crystal
Dy 0.328 0.328 0.017
I 0.966 0.551 0.230
I 0.157 0.368 0.770
I 0.367 0.706 0.770
I 0.254 0.966 0.230
I 0.550 0.254 0.230
I 0.706 0.156 0.770
In 0.002 0.003 0.993
In 0.518 0.517 0.447
Cs 0.813 0.814 0.559
CELL_PARAMETERS angstrom
8.699 0.005 0.004
4.353 7.527 0.003
4.354 2.512 7.780